1.
The following is a PBE calculation of RbCo2As2 after structural relaxation, from the Alexandria database.

a = 8.3139 Å, b = 8.3139 Å, c = 2.9554 Å
α = 90.00°, β = 90.00°, γ = 90.00°
Closest atoms and distances in Å follow each position.
Positions (direct):
Rb 0.5000 0.5000 0.0000  2 Rb 2.96, 4 As 3.29
As 0.1239 0.3761 0.0000  4 Co 2.43
Co 0.3931 0.1069 0.5000  4 As 2.43, 1 Co 2.51
Co 0.6069 0.8931 0.5000  4 As 2.43, 1 Co 2.51
As 0.3761 0.8761 0.0000  4 Co 2.43
As 0.8761 0.6239 0.0000  4 Co 2.43
Co 0.8931 0.3931 0.5000  4 As 2.43, 1 Co 2.51
As 0.6239 0.1239 0.0000  4 Co 2.43
Rb 0.0000 0.0000 0.0000  2 Rb 2.96, 4 As 3.29
Co 0.1069 0.6069 0.5000  4 As 2.43, 1 Co 2.51

## Properties
DOS(E_F) (states/eV per cell): 7.690
Energy (eV per atom): -4.683
Symmetry: P4/mbm
Magnetization (μB/atom): 0.332

=====

2.
The following is a PBE calculation of Ac8ZnNi3Br4 after structural relaxation, from the Alexandria database.

a = 8.8081 Å, b = 9.5807 Å, c = 8.8101 Å
α = 117.38°, β = 119.99°, γ = 90.00°
Closest atoms and distances in Å follow each position.
Positions (direct):
Ac 0.2395 0.6962 0.9566  2 Ni 2.95, 1 Zn 3.10
Br 0.0000 0.0000 0.0000  6 Ac 3.53-3.58
Ac 0.7171 0.6962 0.9566  2 Ni 2.95, 1 Zn 3.10
Br 0.5000 0.0000 0.5000  6 Ac 3.53-3.59
Ac 0.7605 0.3038 0.5210  2 Ni 2.95, 1 Zn 3.10
Ac 0.2395 0.6962 0.4790  2 Ni 2.95, 1 Zn 3.10
Br 0.5000 0.0000 0.0000  6 Ac 3.46
Ac 0.2829 0.3038 0.0434  2 Ni 2.95, 1 Zn 3.10
Ni 0.5000 0.5000 0.5000  6 Ac 2.95-3.01
Ac 0.7605 0.3038 0.0434  2 Ni 2.95, 1 Zn 3.10
Br 0.0000 0.0000 0.5000  6 Ac 3.53-3.59
Ni 0.5000 0.5000 0.0000  6 Ac 2.95-3.01
Ni 0.0000 0.5000 0.5000  6 Ac 2.95-3.01
Ac 0.2672 0.3016 0.5344  3 Ni 3.01
Ac 0.7328 0.6984 0.4656  3 Ni 3.01
Zn 0.0000 0.5000 0.0000  6 Ac 3.10

## Properties
DOS(E_F) (states/eV per cell): 12.180
Energy (eV per atom): -4.419
Symmetry: R-3m
Magnetization (μB/atom): 0.000

=====

3.
The following is a PBE calculation of LiMgHgPt after structural relaxation, from the Alexandria database.

a = 4.5609 Å, b = 4.5609 Å, c = 4.5609 Å
α = 60.00°, β = 60.00°, γ = 60.00°
Closest atoms and distances in Å follow each position.
Positions (direct):
Li 0.5000 0.5000 0.5000  4 Pt 2.79, 4 Hg 2.79
Hg 0.2500 0.2500 0.2500  4 Mg 2.79, 4 Li 2.79
Mg 0.0000 0.0000 0.0000  4 Hg 2.79, 4 Pt 2.79
Pt 0.7500 0.7500 0.7500  4 Li 2.79, 4 Mg 2.79

## Properties
DOS(E_F) (states/eV per cell): 1.455
Energy (eV per atom): -2.952
Symmetry: F-43m
Magnetization (μB/atom): 0.000

=====

4.
The following is a PBE calculation of Ho8TlSb2 after structural relaxation, from the Alexandria database.

a = 4.9058 Å, b = 7.0436 Å, c = 9.8500 Å
α = 100.41°, β = 104.42°, γ = 90.00°
Closest atoms and distances in Å follow each position.
Positions (direct):
Tl 0.5000 0.0000 0.0000  6 Ho 3.06-3.07
Sb 0.1804 0.7669 0.3609  9 Ho 3.09-3.38
Ho 0.0173 0.7541 0.0346  2 Tl 3.06, 1 Sb 3.10
Ho 0.9827 0.2459 0.9654  2 Tl 3.06, 1 Sb 3.10
Ho 0.7851 0.6541 0.5703  3 Sb 3.15-3.35, 4 Ho 3.38
Ho 0.5940 0.4870 0.1880  2 Sb 3.38, 10 Ho 3.47-3.76, 1 Tl 3.56
Ho 0.2149 0.3459 0.4297  3 Sb 3.15-3.35, 4 Ho 3.38
Sb 0.8196 0.2331 0.6391  9 Ho 3.09-3.38
Ho 0.3378 0.9804 0.6756  1 Tl 3.07, 3 Sb 3.09-3.10, 2 Ho 3.38
Ho 0.6622 0.0196 0.3244  1 Tl 3.07, 3 Sb 3.09-3.10, 2 Ho 3.38
Ho 0.4060 0.5130 0.8120  2 Sb 3.38, 10 Ho 3.47-3.76, 1 Tl 3.56

## Properties
DOS(E_F) (states/eV per cell): 11.830
Energy (eV per atom): -4.664
Symmetry: C2/m
Magnetization (μB/atom): 0.000

=====

5.
The following is a PBE calculation of LaTcOsS2 after structural relaxation, from the Alexandria database.

a = 4.7279 Å, b = 4.7574 Å, c = 4.7279 Å
α = 90.00°, β = 90.00°, γ = 90.00°
Closest atoms and distances in Å follow each position.
Positions (direct):
Os 0.0000 0.0000 0.0000  4 S 2.36, 2 Tc 2.38
S 0.0000 0.0000 0.5000  2 Os 2.36
La 0.5000 0.5000 0.5000  4 Tc 3.34, 8 S 3.35
S 0.5000 0.0000 0.0000  2 Os 2.36
Tc 0.0000 0.5000 0.0000  2 Os 2.38

## Properties
DOS(E_F) (states/eV per cell): 5.619
Energy (eV per atom): -6.834
Symmetry: P4/mmm
Magnetization (μB/atom): 0.193

=====

6.
The following is a PBE calculation of Cd2NiPd2 after structural relaxation, from the Alexandria database.

a = 6.5979 Å, b = 6.5979 Å, c = 4.0676 Å
α = 90.00°, β = 90.00°, γ = 90.00°
Closest atoms and distances in Å follow each position.
Positions (direct):
Pd 0.3588 0.8588 0.0000  2 Ni 2.54, 1 Pd 2.64, 2 Cd 2.71
Pd 0.8588 0.6412 0.0000  2 Ni 2.54, 1 Pd 2.64, 2 Cd 2.71
Cd 0.3337 0.1663 0.5000  6 Pd 2.71-2.88
Cd 0.1663 0.6663 0.5000  6 Pd 2.71-2.88
Cd 0.8337 0.3337 0.5000  6 Pd 2.71-2.88
Pd 0.1412 0.3588 0.0000  2 Ni 2.54, 1 Pd 2.64, 2 Cd 2.71
Cd 0.6663 0.8337 0.5000  6 Pd 2.71-2.88
Pd 0.6412 0.1412 0.0000  2 Ni 2.54, 1 Pd 2.64, 2 Cd 2.71
Ni 0.5000 0.5000 0.0000  4 Pd 2.54
Ni 0.0000 0.0000 0.0000  4 Pd 2.54

## Properties
DOS(E_F) (states/eV per cell): 5.011
Energy (eV per atom): -3.675
Symmetry: P4/mbm
Magnetization (μB/atom): 0.048

=====

7.
The following is a PBE calculation of PrHo3Au2 after structural relaxation, from the Alexandria database.

a = 4.9840 Å, b = 7.2084 Å, c = 8.9893 Å
α = 90.00°, β = 90.00°, γ = 90.00°
Closest atoms and distances in Å follow each position.
Positions (direct):
Au 0.5000 0.2503 0.1451  6 Ho 2.88-3.20, 1 Pr 3.05
Ho 0.0000 0.3503 0.3281  4 Au 2.90-3.07
Ho 0.0000 0.8503 0.6719  4 Au 2.90-3.07
Ho 0.0000 0.9868 0.0703  3 Au 2.97-3.20
Au 0.0000 0.7516 0.3413  5 Ho 2.90-3.06, 2 Pr 3.21
Au 0.5000 0.7503 0.8549  6 Ho 2.88-3.20, 1 Pr 3.05
Au 0.0000 0.2516 0.6587  5 Ho 2.90-3.06, 2 Pr 3.21
Ho 0.5000 0.1490 0.8330  4 Au 2.88-3.04
Ho 0.5000 0.6490 0.1670  4 Au 2.88-3.04
Ho 0.0000 0.4868 0.9297  3 Au 2.97-3.20
Pr 0.5000 0.0120 0.4254  3 Au 3.05-3.21
Pr 0.5000 0.5120 0.5746  3 Au 3.05-3.21

## Properties
DOS(E_F) (states/eV per cell): 13.740
Energy (eV per atom): -4.792
Symmetry: Pmc2_1
Magnetization (μB/atom): 0.000

=====

8.
The following is a PBE calculation of Ce3Sn3Pd after structural relaxation, from the Alexandria database.

a = 4.6235 Å, b = 6.1591 Å, c = 14.6150 Å
α = 84.41°, β = 80.90°, γ = 67.95°
Closest atoms and distances in Å follow each position.
Positions (direct):
Pd 0.2405 0.9069 0.6122  4 Sn 2.72-2.92
Ce 0.2609 0.2442 0.2340  6 Sn 3.25-3.37, 2 Pd 3.30
Sn 0.1409 0.2591 0.4591  3 Pd 2.72-2.92, 1 Sn 3.04
Ce 0.4043 0.2696 0.9217  7 Sn 3.14-3.46
Ce 0.7391 0.7558 0.7660  6 Sn 3.25-3.37, 2 Pd 3.30
Sn 0.8716 0.1805 0.0764  2 Sn 3.04-3.08, 5 Ce 3.14-3.27
Ce 0.5307 0.3219 0.6168  7 Sn 3.22-3.54, 4 Pd 3.31-3.60
Sn 0.8591 0.7409 0.5409  3 Pd 2.72-2.92, 1 Sn 3.04
Ce 0.4693 0.6781 0.3832  7 Sn 3.22-3.54, 4 Pd 3.31-3.60
Sn 0.0250 0.1853 0.7648  1 Pd 2.77, 1 Sn 3.04
Ce 0.5957 0.7304 0.0783  7 Sn 3.14-3.46
Sn 0.1284 0.8195 0.9236  2 Sn 3.04-3.08, 5 Ce 3.14-3.27
Sn 0.9750 0.8147 0.2352  1 Pd 2.77, 1 Sn 3.04
Pd 0.7595 0.0931 0.3878  4 Sn 2.72-2.92

## Properties
DOS(E_F) (states/eV per cell): 38.806
Energy (eV per atom): -5.678
Symmetry: C2/m
Magnetization (μB/atom): 0.353

=====

9.
The following is a PBE calculation of Sm2PaSbN2 after structural relaxation, from the Alexandria database.

a = 4.4299 Å, b = 4.4299 Å, c = 6.5657 Å
α = 90.00°, β = 90.00°, γ = 90.00°
Closest atoms and distances in Å follow each position.
Positions (direct):
Sm 0.5000 0.5000 0.7613  4 N 2.71
N 0.5000 0.0000 0.0000  2 Pa 2.21
Sm 0.5000 0.5000 0.2387  4 N 2.71
Sb 0.0000 0.0000 0.5000  2 Pa 3.28, 8 Sm 3.57
N 0.0000 0.5000 0.0000  2 Pa 2.21
Pa 0.0000 0.0000 0.0000  4 N 2.21

## Properties
DOS(E_F) (states/eV per cell): 6.002
Energy (eV per atom): -7.801
Symmetry: P4/mmm
Magnetization (μB/atom): 0.005

=====

10.
The following is a PBE calculation of SmHo4Hg2 after structural relaxation, from the Alexandria database.

a = 5.0290 Å, b = 5.0290 Å, c = 10.6323 Å
α = 76.32°, β = 76.32°, γ = 60.00°
Closest atoms and distances in Å follow each position.
Positions (direct):
Hg 0.3984 0.3984 0.8048  7 Ho 3.04-3.16, 1 Sm 3.12
Ho 0.1056 0.1056 0.6833  3 Hg 3.16, 3 Sm 3.46
Ho 0.7026 0.7026 0.8922  4 Hg 3.04-3.10
Hg 0.6016 0.6016 0.1952  7 Ho 3.04-3.16, 1 Sm 3.12
Ho 0.8944 0.8944 0.3167  3 Hg 3.16, 3 Sm 3.46
Sm 0.5000 0.5000 0.5000  2 Hg 3.12, 6 Ho 3.46
Ho 0.2974 0.2974 0.1078  4 Hg 3.04-3.10

## Properties
DOS(E_F) (states/eV per cell): 8.739
Energy (eV per atom): -3.347
Symmetry: R-3m
Magnetization (μB/atom): 0.000

=====

11.
The following is a PBE calculation of BiS2IN after structural relaxation, from the Alexandria database.

a = 5.3752 Å, b = 5.3752 Å, c = 4.2401 Å
α = 90.00°, β = 90.00°, γ = 90.00°
Closest atoms and distances in Å follow each position.
Positions (direct):
N 0.0000 0.0000 0.5000  2 Bi 2.12
Bi 0.0000 0.0000 0.0000  2 N 2.12
S 0.0000 0.5000 0.0000  2 Bi 2.69
S 0.5000 0.0000 0.0000  2 Bi 2.69
I 0.5000 0.5000 0.5000  8 S 3.42, 4 N 3.80

## Properties
DOS(E_F) (states/eV per cell): 8.324
Energy (eV per atom): -3.187
Symmetry: P4/mmm
Magnetization (μB/atom): 0.000

=====

12.
The following is a PBE calculation of NaNdCu after structural relaxation, from the Alexandria database.

a = 4.1548 Å, b = 4.1548 Å, c = 9.5778 Å
α = 102.30°, β = 102.30°, γ = 88.56°
Closest atoms and distances in Å follow each position.
Positions (direct):
Na 0.7584 0.7584 0.5074  4 Na 2.90-3.04, 2 Cu 3.00-3.03
Cu 0.1527 0.1527 0.7884  2 Na 3.00-3.03, 5 Nd 3.01-3.11
Na 0.2416 0.2416 0.4926  4 Na 2.90-3.04, 2 Cu 3.00-3.03
Nd 0.3100 0.3100 0.1244  5 Cu 3.01-3.11
Cu 0.8473 0.8473 0.2116  2 Na 3.00-3.03, 5 Nd 3.01-3.11
Nd 0.6900 0.6900 0.8756  5 Cu 3.01-3.11

## Properties
DOS(E_F) (states/eV per cell): 4.576
Energy (eV per atom): -3.281
Symmetry: C2/m
Magnetization (μB/atom): 0.000